[1]
Computed, not measured: a relaxed structure of CeGe2MoO8 at the PBE with a Hubbard U level of DFT.

Unit cell a=6.4754 b=6.4754 c=6.4754 alpha=134.56 beta=134.56 gamma=66.21
Element x y z (fractional)
Ce  0.0000  0.0000  0.0000
Ge  0.5000  0.5000  0.0000
Ge  0.7500  0.2500  0.5000
Mo  0.2500  0.7500  0.5000
O  0.0096  0.0695  0.4181
O  0.2484  0.6658  0.0938
O  0.3342  0.4280  0.5826
O  0.4085  0.9904  0.0599
O  0.5720  0.1546  0.9062
O  0.6514  0.5915  0.5819
O  0.8454  0.7516  0.4174
O  0.9305  0.3486  0.9401

## Properties
crystal system: tetragonal
calculated total energy: -7.147 eV per atom

[2]
Computed, not measured: a relaxed structure of CeGeMoO6 at the PBE with a Hubbard U level of DFT.

Unit cell a=4.8134 b=4.8134 c=9.6355 alpha=90.00 beta=90.00 gamma=90.00
Element x y z (fractional)
Ce  0.0000  0.0000  0.0000
Ce  0.5000  0.5000  0.5000
Ge  0.0000  0.0000  0.3430
Ge  0.5000  0.5000  0.8430
Mo  0.0000  0.0000  0.6753
Mo  0.5000  0.5000  0.1753
O  0.1769  0.1769  0.5012
O  0.2124  0.2124  0.1955
O  0.2227  0.2227  0.8330
O  0.2773  0.7227  0.3330
O  0.2876  0.7124  0.6955
O  0.3231  0.6769  0.0012
O  0.6769  0.3231  0.0012
O  0.7124  0.2876  0.6955
O  0.7227  0.2773  0.3330
O  0.7773  0.7773  0.8330
O  0.7876  0.7876  0.1955
O  0.8231  0.8231  0.5012

## Properties
crystal system: tetragonal
calculated total energy: -7.360 eV per atom

calculated total energy of number 1 (CeGe2MoO8)?
-7.147 eV per atom

Repeat the first record exactly.
Computed, not measured: a relaxed structure of CeGe2MoO8 at the PBE with a Hubbard U level of DFT.

Unit cell a=6.4754 b=6.4754 c=6.4754 alpha=134.56 beta=134.56 gamma=66.21
Element x y z (fractional)
Ce  0.0000  0.0000  0.0000
Ge  0.5000  0.5000  0.0000
Ge  0.7500  0.2500  0.5000
Mo  0.2500  0.7500  0.5000
O  0.0096  0.0695  0.4181
O  0.2484  0.6658  0.0938
O  0.3342  0.4280  0.5826
O  0.4085  0.9904  0.0599
O  0.5720  0.1546  0.9062
O  0.6514  0.5915  0.5819
O  0.8454  0.7516  0.4174
O  0.9305  0.3486  0.9401

## Properties
crystal system: tetragonal
calculated total energy: -7.147 eV per atom